VGaRe2 | PBE-GGA | optimized geometry

The structure belongs to space group P4/mmm (No. 123); the cell edges are 3.134, 3.134 and 5.843 Å and the angles 90.00°, 90.00° and 90.00°. Symmetry generates all atoms from V at (0.000, 0.000, 0.000), Ga at (0.000, 0.000, 0.500) and Re at (0.500, 0.500, 0.246).

The calculation puts the density of states at the Fermi level at 0.914 states/eV per atom. The calculation puts the total energy at -9.2923 eV/atom.